No. 1
TlTcNi2Pd meta-GGA SCAN single point on PBEsol structure; calculated formation energy = 571 kJ/mol of formula units; space group = P4/mmm
1.0
4.4418 0.0000 0.0000
0.0000 4.4418 0.0000
0.0000 0.0000 4.7844
Tl Tc Ni Pd
1 1 2 1
Direct
0.0000 0.0000 0.0000 Tl
0.5000 0.5000 0.5000 Tc
0.0000 0.5000 0.5000 Ni
0.5000 0.0000 0.5000 Ni
0.5000 0.5000 0.0000 Pd

No. 2
KCdHg2 meta-GGA SCAN single point on PBEsol structure; calculated formation energy = -70 kJ/mol of formula units; space group = Pm
1.0
3.2754 0.0000 0.0000
0.0000 5.2607 0.0000
-0.0278 0.0000 6.1761
K Cd Hg
1 1 2
Direct
0.0000 0.0000 0.0000 K
0.5057 0.5000 0.2775 Cd
0.4969 0.5000 0.7597 Hg
0.4997 0.0000 0.4989 Hg

No. 3
BaCa2Au meta-GGA SCAN single point on PBEsol structure; calculated formation energy = -66 kJ/mol of formula units; space group = F-43m
1.0
7.9663 0.0000 0.0000
0.0000 7.9663 0.0000
0.0000 0.0000 7.9663
Ba Ca Au
4 8 4
Direct
0.0000 0.0000 0.0000 Ba
0.0000 0.5000 0.5000 Ba
0.5000 0.0000 0.5000 Ba
0.5000 0.5000 0.0000 Ba
0.0000 0.0000 0.5000 Ca
0.0000 0.5000 0.0000 Ca
0.2500 0.2500 0.7500 Ca
0.2500 0.7500 0.2500 Ca
0.5000 0.0000 0.0000 Ca
0.5000 0.5000 0.5000 Ca
0.7500 0.2500 0.2500 Ca
0.7500 0.7500 0.7500 Ca
0.2500 0.2500 0.2500 Au
0.2500 0.7500 0.7500 Au
0.7500 0.2500 0.7500 Au
0.7500 0.7500 0.2500 Au

No. 4
BaTlSb2 meta-GGA SCAN single point on PBEsol structure; formation energy (no corrections) = -537 meV per atom; space group = Cm
1.0
10.6761 0.0000 0.0000
0.0000 4.3141 0.0000
-1.8219 0.0000 5.5633
Ba Tl Sb
2 2 4
Direct
0.0000 0.0000 0.0000 Ba
0.5000 0.5000 0.0000 Ba
0.2359 0.0000 0.7092 Tl
0.7359 0.5000 0.7092 Tl
0.2693 0.5000 0.3466 Sb
0.4966 0.0000 0.4850 Sb
0.7693 0.0000 0.3466 Sb
0.9966 0.5000 0.4850 Sb

No. 5
LiTi2F meta-GGA SCAN single point on PBEsol structure; formation energy (no corrections) = -294 meV per atom; space group = I-42d
1.0
4.9995 0.0000 0.0000
0.0000 4.9995 0.0000
0.0000 0.0000 11.0357
Li Ti F
4 8 4
Direct
0.0000 0.0000 0.0000 Li
0.0000 0.5000 0.2500 Li
0.5000 0.0000 0.7500 Li
0.5000 0.5000 0.5000 Li
0.1233 0.2500 0.6250 Ti
0.2500 0.6233 0.8750 Ti
0.2500 0.8767 0.3750 Ti
0.3767 0.2500 0.1250 Ti
0.6233 0.7500 0.1250 Ti
0.7500 0.1233 0.3750 Ti
0.7500 0.3767 0.8750 Ti
0.8767 0.7500 0.6250 Ti
0.0000 0.0000 0.5000 F
0.0000 0.5000 0.7500 F
0.5000 0.0000 0.2500 F
0.5000 0.5000 0.0000 F

No. 6
LaFe2Pt meta-GGA SCAN single point on PBEsol structure; calculated formation energy = 5 kJ/mol of formula units; space group = Fm-3m
1.0
6.3712 0.0000 0.0000
0.0000 6.3712 0.0000
0.0000 0.0000 6.3712
La Fe Pt
4 8 4
Direct
0.0000 0.0000 0.0000 La
0.0000 0.5000 0.5000 La
0.5000 0.0000 0.5000 La
0.5000 0.5000 0.0000 La
0.2500 0.2500 0.2500 Fe
0.2500 0.2500 0.7500 Fe
0.2500 0.7500 0.2500 Fe
0.2500 0.7500 0.7500 Fe
0.7500 0.2500 0.2500 Fe
0.7500 0.2500 0.7500 Fe
0.7500 0.7500 0.2500 Fe
0.7500 0.7500 0.7500 Fe
0.0000 0.0000 0.5000 Pt
0.0000 0.5000 0.0000 Pt
0.5000 0.0000 0.0000 Pt
0.5000 0.5000 0.5000 Pt

No. 7
La5Y meta-GGA SCAN single point on PBEsol structure; calculated formation energy = 21 kJ/mol of formula units; space group = Amm2
1.0
5.8926 0.0000 0.0000
0.0000 3.6358 0.0000
0.0000 0.0000 18.9326
La Y
10 2
Direct
0.0000 0.0000 0.0000 La
0.0000 0.0000 0.3304 La
0.0000 0.0000 0.6640 La
0.0000 0.5000 0.1640 La
0.0000 0.5000 0.5000 La
0.0000 0.5000 0.8304 La
0.5000 0.0000 0.5524 La
0.5000 0.0000 0.8865 La
0.5000 0.5000 0.0524 La
0.5000 0.5000 0.3865 La
0.5000 0.0000 0.2208 Y
0.5000 0.5000 0.7208 Y

No. 8
AlFeH2 meta-GGA SCAN single point on PBEsol structure; space group = I-42d; final energy = -8.0371 eV per atom
1.0
3.7478 0.0000 0.0000
0.0000 3.7478 0.0000
0.0000 0.0000 8.4900
Al Fe H
4 4 8
Direct
0.0000 0.0000 0.0000 Al
0.0000 0.5000 0.2500 Al
0.5000 0.0000 0.7500 Al
0.5000 0.5000 0.5000 Al
0.0000 0.0000 0.5000 Fe
0.0000 0.5000 0.7500 Fe
0.5000 0.0000 0.2500 Fe
0.5000 0.5000 0.0000 Fe
0.1838 0.2500 0.6250 H
0.2500 0.6838 0.8750 H
0.2500 0.8162 0.3750 H
0.3162 0.2500 0.1250 H
0.6838 0.7500 0.1250 H
0.7500 0.1838 0.3750 H
0.7500 0.3162 0.8750 H
0.8162 0.7500 0.6250 H

No. 9
BaSr2Li2 meta-GGA SCAN single point on PBEsol structure; calculated formation energy = 37 kJ/mol of formula units; space group = I4/mmm
1.0
4.0811 0.0000 0.0000
0.0000 4.0811 0.0000
0.0000 0.0000 24.9934
Ba Sr Li
2 4 4
Direct
0.0000 0.0000 0.0000 Ba
0.5000 0.5000 0.5000 Ba
0.0000 0.0000 0.3683 Sr
0.0000 0.0000 0.6317 Sr
0.5000 0.5000 0.1317 Sr
0.5000 0.5000 0.8683 Sr
0.0000 0.5000 0.2500 Li
0.0000 0.5000 0.7500 Li
0.5000 0.0000 0.2500 Li
0.5000 0.0000 0.7500 Li

No. 10
Zr3Sc2 meta-GGA SCAN single point on PBEsol structure; calculated formation energy = 33 kJ/mol of formula units; space group = R-3m
1.0
3.1580 0.0000 0.0000
-1.5790 2.7349 0.0000
0.0000 0.0000 38.9384
Zr Sc
9 6
Direct
0.0000 0.0000 0.0000 Zr
0.0000 0.0000 0.1992 Zr
0.0000 0.0000 0.8008 Zr
0.3333 0.6667 0.4675 Zr
0.3333 0.6667 0.6667 Zr
0.3333 0.6667 0.8658 Zr
0.6667 0.3333 0.1342 Zr
0.6667 0.3333 0.3333 Zr
0.6667 0.3333 0.5325 Zr
0.0000 0.0000 0.4002 Sc
0.0000 0.0000 0.5998 Sc
0.3333 0.6667 0.0669 Sc
0.3333 0.6667 0.2664 Sc
0.6667 0.3333 0.7336 Sc
0.6667 0.3333 0.9331 Sc

No. 11
Re2AsPt meta-GGA SCAN single point on PBEsol structure; calculated formation energy = 116 kJ/mol of formula units; space group = C2/m
1.0
9.1662 0.0000 0.0000
0.0000 2.7961 0.0000
-1.4856 0.0000 4.6598
Re As Pt
4 2 2
Direct
0.2292 0.0000 0.2559 Re
0.2708 0.5000 0.7441 Re
0.7292 0.5000 0.2559 Re
0.7708 0.0000 0.7441 Re
0.0000 0.5000 0.0000 As
0.5000 0.0000 0.0000 As
0.0000 0.0000 0.5000 Pt
0.5000 0.5000 0.5000 Pt

No. 12
LaFeBr meta-GGA SCAN single point on PBEsol structure; formation energy (no corrections) = 8 meV per atom; space group = F-43m
1.0
6.9426 0.0000 0.0000
0.0000 6.9426 0.0000
0.0000 0.0000 6.9426
La Fe Br
4 4 4
Direct
0.0000 0.0000 0.0000 La
0.0000 0.5000 0.5000 La
0.5000 0.0000 0.5000 La
0.5000 0.5000 0.0000 La
0.2500 0.2500 0.2500 Fe
0.2500 0.7500 0.7500 Fe
0.7500 0.2500 0.7500 Fe
0.7500 0.7500 0.2500 Fe
0.2500 0.2500 0.7500 Br
0.2500 0.7500 0.2500 Br
0.7500 0.2500 0.2500 Br
0.7500 0.7500 0.7500 Br